1.
{
  "formula": "BeAlHg",
  "functional": "PBE",
  "state": "relaxed",
  "de_polymorph_mev_per_atom": 0.0,
  "cell": [[0.000, 2.930, 2.930], [2.930, 0.000, 2.930], [2.930, 2.930, 0.000]],
  "species": ["Be", "Hg", "Al"],
  "fractional_positions": [[0.000, 0.000, 0.000], [0.750, 0.750, 0.750], [0.250, 0.250, 0.250]]
}

2.
{
  "formula": "ErMgInTe3",
  "functional": "PBE",
  "state": "relaxed",
  "dft_energy_ev_per_atom": -3.93,
  "total_magnetization_mub_per_cell": 0.004,
  "cell": [[6.634, 3.703, -2.306], [-7.648, -1.566, -1.446], [-3.092, 9.390, 6.183]],
  "species": ["Te", "Te", "Te", "Te", "Te", "Te", "In", "In", "Er", "Er", "Mg", "Mg"],
  "fractional_positions": [[0.364, 0.636, 0.948], [0.076, 0.924, 0.750], [0.924, 0.076, 0.250], [0.364, 0.636, 0.552], [0.636, 0.364, 0.448], [0.636, 0.364, 0.052], [0.244, 0.756, 0.250], [0.756, 0.244, 0.750], [0.000, 0.000, 0.500], [0.000, 0.000, 0.000], [0.463, 0.537, 0.750], [0.537, 0.463, 0.250]]
}

3.
{
  "formula": "Sr2CuTcN6",
  "functional": "PBE",
  "state": "relaxed",
  "dft_energy_ev_per_atom": -6.26,
  "total_magnetization_mub_per_cell": 0.003,
  "cell": [[5.535, 0.000, 0.000], [0.035, 5.543, 0.000], [2.755, 2.751, 3.992]],
  "species": ["Tc", "N", "N", "N", "N", "N", "N", "Cu", "Sr", "Sr"],
  "fractional_positions": [[0.500, 0.500, 0.500], [0.258, 0.246, 0.498], [0.744, 0.748, 0.008], [0.742, 0.754, 0.502], [0.256, 0.252, 0.992], [0.756, 0.255, 0.499], [0.244, 0.745, 0.501], [0.000, 0.000, 0.500], [0.251, 0.750, 0.999], [0.749, 0.250, 0.001]]
}

4.
{
  "formula": "ReTcNO",
  "functional": "PBE",
  "state": "relaxed",
  "total_magnetization_mub_per_cell": 1.450,
  "de_polymorph_mev_per_atom": 768.5,
  "cell": [[-1.150, -1.279, 3.481], [0.522, -3.665, -1.174], [5.299, 0.174, 1.815]],
  "species": ["Tc", "Tc", "Re", "Re", "O", "O", "N", "N"],
  "fractional_positions": [[0.000, 0.000, 0.500], [0.500, 0.500, 0.500], [0.000, 0.500, 0.130], [0.500, 0.000, 0.870], [0.500, 0.500, 0.000], [0.000, 0.000, 0.000], [0.000, 0.500, 0.673], [0.500, 0.000, 0.327]]
}

5.
{
  "formula": "HfGaTe",
  "functional": "PBE",
  "state": "relaxed",
  "total_magnetization_mub_per_cell": 0.028,
  "de_polymorph_mev_per_atom": 0.0,
  "cell": [[-1.504, 7.913, 0.117], [-6.076, -5.263, 0.519], [0.307, 0.005, 3.645]],
  "species": ["Ga", "Ga", "Ga", "Hf", "Hf", "Hf", "Te", "Te", "Te"],
  "fractional_positions": [[0.000, 0.579, 0.500], [0.421, 0.421, 0.500], [0.579, 0.000, 0.500], [0.333, 0.667, 0.000], [0.000, 0.000, 0.500], [0.667, 0.333, 0.000], [0.000, 0.272, 0.000], [0.272, 0.000, 0.000], [0.728, 0.728, 0.000]]
}

6.
{
  "formula": "GeIr",
  "functional": "PBE",
  "state": "relaxed",
  "dft_energy_ev_per_atom": -6.53,
  "total_magnetization_mub_per_cell": 0.007,
  "cell": [[0.000, 2.554, 2.554], [2.554, 0.000, 2.554], [2.554, 2.554, 0.000]],
  "species": ["Ir", "Ge"],
  "fractional_positions": [[0.500, 0.500, 0.500], [0.000, 0.000, 0.000]]
}

7.
{
  "formula": "AgAsPt2",
  "functional": "PBE",
  "state": "relaxed",
  "dft_energy_ev_per_atom": -4.80,
  "total_magnetization_mub_per_cell": 0.009,
  "cell": [[-1.543, 1.894, 3.842], [-3.312, 3.120, -0.170], [-4.167, -1.018, 1.527]],
  "species": ["Pt", "Pt", "Ag", "As"],
  "fractional_positions": [[0.000, 0.000, 0.000], [0.750, 0.750, 0.750], [0.250, 0.250, 0.250], [0.500, 0.500, 0.500]]
}

8.
{
  "formula": "TlHg3WS4",
  "functional": "PBE",
  "state": "relaxed",
  "dft_energy_ev_per_atom": -3.63,
  "total_magnetization_mub_per_cell": 0.035,
  "cell": [[7.338, 0.000, 0.000], [0.000, 7.338, 0.000], [0.000, 0.000, 7.338]],
  "species": ["S", "S", "S", "S", "W", "Hg", "Hg", "Hg", "Tl"],
  "fractional_positions": [[0.675, 0.325, 0.675], [0.325, 0.325, 0.325], [0.675, 0.675, 0.325], [0.325, 0.675, 0.675], [0.500, 0.500, 0.500], [0.500, 0.000, 0.500], [0.500, 0.500, 0.000], [0.000, 0.500, 0.500], [0.000, 0.000, 0.000]]
}